1.
The following is a PBE calculation of a geometry-optimized La3Dy6In structure, from Alexandria.

Unit cell a=13.372 b=15.653 c=6.371 alpha=90.00 beta=90.00 gamma=90.00
Space group Cmc2_1 (No. 36)
Symmetry-distinct sites (fractional):
La: 0.000 0.143 0.000 x4
La: 0.200 0.413 0.661 x8
Dy: 0.000 0.251 0.504 x4
Dy: 0.000 0.452 0.338 x4
Dy: 0.118 0.057 0.498 x8
Dy: 0.208 0.305 0.188 x8
In: 0.000 0.347 0.936 x4

The electronic total energy is -4.463 eV per atom. For the density of states at the Fermi level, the calculation gives 1.303 states/eV per atom. The formation energy is 51 meV per atom. The spin magnetization comes out at 0.000 Bohr magnetons per cell.


2.
The following is a PBE calculation of a geometry-optimized KHg2Sb2 structure, from Alexandria.

Unit cell a=8.974 b=8.974 c=3.594 alpha=90.00 beta=90.00 gamma=90.00
Space group P4/mbm (No. 127)
Symmetry-distinct sites (fractional):
K: 0.000 0.000 0.000 x2
Hg: 0.143 0.357 0.000 x4
Sb: 0.152 0.652 0.500 x4

The electronic total energy is -2.030 eV per atom. For the density of states at the Fermi level, the calculation gives 0.494 states/eV per atom. The uncorrected formation energy comes out at -0.0407 eV per atom. Its energy above the lowest structure with this stoichiometry is 12.0 kJ per mole of atoms. The spin magnetization comes out at 0.000 Bohr magnetons per cell.


3.
The following is a PBE calculation of a geometry-optimized Hf12Fe6Bi structure, from Alexandria.

Unit cell a=8.968 b=8.968 c=8.968 alpha=90.00 beta=90.00 gamma=90.00
Space group Im-3 (No. 204)
Symmetry-distinct sites (fractional):
Hf: 0.000 0.296 0.198 x24
Fe: 0.000 0.123 0.500 x12
Bi: 0.000 0.000 0.000 x2

The electronic total energy is -9.266 eV per atom. For the density of states at the Fermi level, the calculation gives 1.132 states/eV per atom. The formation energy is -102 meV per atom. The spin magnetization comes out at 8.576 Bohr magnetons per cell.


4.
The following is a PBE calculation of a geometry-optimized Na3La2SmSe6 structure, from Alexandria.

Unit cell a=18.743 b=4.333 c=8.587 alpha=90.00 beta=102.46 gamma=90.00
Space group C2/m (No. 12)
Symmetry-distinct sites (fractional):
Na: 0.000 0.000 0.000 x2
Na: 0.166 0.500 0.332 x4
La: 0.166 0.500 0.830 x4
Sm: 0.000 0.000 0.500 x2
Se: 0.001 0.500 0.736 x4
Se: 0.161 0.000 0.585 x4
Se: 0.169 0.000 0.076 x4

The electronic total energy is -5.020 eV per atom. For the density of states at the Fermi level, the calculation gives 0.000 states/eV per atom. The uncorrected formation energy comes out at -1.7338 eV per atom. The spin magnetization comes out at 0.000 Bohr magnetons per cell.


5.
The following is a PBE calculation of a geometry-optimized ZrNiB2Pt structure, from Alexandria.

Unit cell a=3.835 b=3.835 c=4.986 alpha=90.00 beta=90.00 gamma=90.00
Space group P4/mmm (No. 123)
Symmetry-distinct sites (fractional):
Zr: 0.000 0.000 0.000 x1
Ni: 0.000 0.000 0.500 x1
B: 0.000 0.500 0.500 x2
Pt: 0.500 0.500 0.000 x1

The electronic total energy is -6.300 eV per atom. For the density of states at the Fermi level, the calculation gives 0.379 states/eV per atom. The formation energy is 446 meV per atom. Its energy above the lowest structure with this stoichiometry is 0.0 kJ per mole of atoms. The spin magnetization comes out at 0.000 Bohr magnetons per cell.


6.
The following is a PBE calculation of a geometry-optimized Ce2Be4CoGe3 structure, from Alexandria.

Unit cell a=3.967 b=3.967 c=9.592 alpha=90.00 beta=90.00 gamma=90.00
Space group P-4m2 (No. 115)
Symmetry-distinct sites (fractional):
Ce: 0.000 0.500 0.242 x2
Be: 0.000 0.000 0.500 x1
Be: 0.000 0.500 0.880 x2
Be: 0.500 0.500 0.500 x1
Co: 0.500 0.500 0.000 x1
Ge: 0.000 0.000 0.000 x1
Ge: 0.000 0.500 0.634 x2

The electronic total energy is -5.149 eV per atom. For the density of states at the Fermi level, the calculation gives 1.022 states/eV per atom. The formation energy is -376 meV per atom. The spin magnetization comes out at 0.291 Bohr magnetons per cell.


7.
The following is a PBE calculation of a geometry-optimized BeReP2Rh structure, from Alexandria.

Unit cell a=4.218 b=4.218 c=3.851 alpha=90.00 beta=90.00 gamma=90.00
Space group P4/mmm (No. 123)
Symmetry-distinct sites (fractional):
Be: 0.000 0.000 0.000 x1
Re: 0.500 0.500 0.500 x1
P: 0.000 0.500 0.000 x2
Rh: 0.000 0.000 0.500 x1

The electronic total energy is -6.034 eV per atom. For the density of states at the Fermi level, the calculation gives 0.823 states/eV per atom. The formation energy is 835 meV per atom. The spin magnetization comes out at 0.890 Bohr magnetons per cell.


8.
The following is a PBE calculation of a geometry-optimized SiOs2Pt structure, from Alexandria.

Unit cell a=2.801 b=2.801 c=7.239 alpha=90.00 beta=90.00 gamma=90.00
Space group P4mm (No. 99)
Symmetry-distinct sites (fractional):
Si: 0.000 0.000 0.000 x1
Os: 0.000 0.000 0.478 x1
Os: 0.500 0.500 0.237 x1
Pt: 0.500 0.500 0.774 x1

The electronic total energy is -8.526 eV per atom. For the density of states at the Fermi level, the calculation gives 0.676 states/eV per atom. The uncorrected formation energy comes out at -0.0455 eV per atom. The spin magnetization comes out at 0.000 Bohr magnetons per cell.


9.
The following is a PBE calculation of a geometry-optimized Ac3DyTe6 structure, from Alexandria.

Unit cell a=14.3516 b=14.3516 c=13.6059 alpha=90.00 beta=90.00 gamma=120.00
Space group R-3 (No. 148, hexagonal axes)
Symmetry-distinct sites (fractional):
Ac: 0.0494 0.6099 0.3218 x18
Dy: 0.0000 0.0000 0.0000 x3
Dy: 0.0000 0.0000 0.5000 x3
Te: 0.0358 0.8306 0.3927 x18
Te: 0.0511 0.8487 0.8839 x18

The electronic total energy is -5.076 eV per atom. The uncorrected formation energy comes out at -1.4985 eV per atom. Its energy above the lowest structure with this stoichiometry is 0.7 kJ per mole of atoms. The spin magnetization comes out at 0.000 Bohr magnetons per cell.


10.
The following is a PBE calculation of a geometry-optimized Cs3U2CdS9 structure, from Alexandria.

Unit cell a=7.3963 b=7.3963 c=9.1320 alpha=90.00 beta=90.00 gamma=120.00
Space group P-3m1 (No. 164)
Symmetry-distinct sites (fractional):
Cs: 0.0000 0.0000 0.0000 x1
Cs: 0.3333 0.6667 0.6594 x2
U: 0.3333 0.6667 0.1695 x2
Cd: 0.0000 0.0000 0.5000 x1
S: 0.0000 0.5000 0.0000 x3
S: 0.1722 0.3445 0.3213 x6

The electronic total energy is -5.293 eV per atom. For the density of states at the Fermi level, the calculation gives 0.565 states/eV per atom. The uncorrected formation energy comes out at -1.0796 eV per atom. The spin magnetization comes out at 0.000 Bohr magnetons per cell.


11.
The following is a PBE calculation of a geometry-optimized Pm2CoOs structure, from Alexandria.

Unit cell a=6.970 b=6.970 c=6.970 alpha=90.00 beta=90.00 gamma=90.00
Space group Fm-3m (No. 225)
Symmetry-distinct sites (fractional):
Pm: 0.250 0.250 0.250 x8
Co: 0.000 0.000 0.000 x4
Os: 0.000 0.000 0.500 x4

The electronic total energy is -6.880 eV per atom. For the density of states at the Fermi level, the calculation gives 1.639 states/eV per atom. The formation energy is 79 meV per atom. Its energy above the lowest structure with this stoichiometry is 16.2 kJ per mole of atoms. The spin magnetization comes out at 4.542 Bohr magnetons per cell.


12.
The following is a PBE calculation of a geometry-optimized YSnBi3 structure, from Alexandria.

Unit cell a=5.870 b=5.870 c=5.870 alpha=90.00 beta=90.00 gamma=90.00
Space group Pm-3m (No. 221)
Symmetry-distinct sites (fractional):
Y: 0.000 0.000 0.000 x1
Sn: 0.500 0.500 0.500 x1
Bi: 0.000 0.000 0.500 x3

The electronic total energy is -4.055 eV per atom. For the density of states at the Fermi level, the calculation gives 0.801 states/eV per atom. The formation energy is 367 meV per atom. Its energy above the lowest structure with this stoichiometry is 0.0 kJ per mole of atoms. The spin magnetization comes out at 0.000 Bohr magnetons per cell.